Below is a geometry-optimized NaY2Pd2 structure, with properties calculated at the PBE-GGA level.

Offset from the most stable computed form, meV per atom: 0
Calculated density, g/cm³: 5.8
V, Å³ per cell: 235.9
ΔH_f (0 K), eV/atom: -0.616
DOS(E_F), states/eV/cell: 5.627
Space group: P4/mbm

Cell lengths 7.948, 7.948, 3.734 Å; angles 90.00, 90.00, 90.00 degrees
Sites, in units of the cell vectors:
Y1 0.340 0.160 0.500
Y2 0.840 0.340 0.500
Y3 0.160 0.660 0.500
Y4 0.660 0.840 0.500
Na1 0.000 0.000 0.000
Na2 0.500 0.500 0.000
Pd1 0.632 0.132 0.000
Pd2 0.368 0.868 0.000
Pd3 0.868 0.632 0.000
Pd4 0.132 0.368 0.000